Material: BaSr5Hg6
Method: DFT, PBE
State: relaxed

Cell lengths 9.0472, 9.0472, 8.0493 Å; angles 90.00, 90.00, 143.07 degrees
Positions (direct):
1 Ba 0.0000 0.0000 0.0000
2 Sr 0.0000 0.0000 0.5000
3 Sr 0.3322 0.6678 0.0000
4 Sr 0.3341 0.6659 0.5000
5 Sr 0.6659 0.3341 0.5000
6 Sr 0.6678 0.3322 0.0000
7 Hg 0.1689 0.8311 0.2545
8 Hg 0.1689 0.8311 0.7455
9 Hg 0.5000 0.5000 0.2582
10 Hg 0.5000 0.5000 0.7418
11 Hg 0.8311 0.1689 0.2545
12 Hg 0.8311 0.1689 0.7455

Calculated values
The symmetry is Cmmm, No. 65. As for the crystal system: orthorhombic.

=====

Material: Nd12ScCd3
Method: DFT, PBE
State: relaxed

Cell lengths 4.9894, 4.9894, 20.1597 Å; angles 90.00, 90.00, 90.00 degrees
Positions (direct):
1 Nd 0.0000 0.0000 0.0000
2 Nd 0.0000 0.0000 0.2485
3 Nd 0.0000 0.0000 0.5000
4 Nd 0.0000 0.0000 0.7515
5 Nd 0.0000 0.5000 0.1239
6 Nd 0.0000 0.5000 0.3734
7 Nd 0.0000 0.5000 0.6266
8 Nd 0.0000 0.5000 0.8761
9 Nd 0.5000 0.0000 0.1239
10 Nd 0.5000 0.0000 0.3734
11 Nd 0.5000 0.0000 0.6266
12 Nd 0.5000 0.0000 0.8761
13 Sc 0.5000 0.5000 0.5000
14 Cd 0.5000 0.5000 0.0000
15 Cd 0.5000 0.5000 0.2455
16 Cd 0.5000 0.5000 0.7545

Calculated values
The symmetry is P4/mmm, No. 123. As for the crystal system: tetragonal.

=====

Material: PuHf2Ti
Method: DFT, PBE
State: relaxed

Cell lengths 3.5964, 3.5964, 6.6523 Å; angles 90.00, 90.00, 90.00 degrees
Positions (direct):
1 Pu 0.0000 0.0000 0.0000
2 Hf 0.5000 0.5000 0.2760
3 Hf 0.5000 0.5000 0.7240
4 Ti 0.0000 0.0000 0.5000

Calculated values
The symmetry is P4/mmm, No. 123. The energy above the lowest structure with this stoichiometry comes out at 14 meV/atom. As for the crystal system: tetragonal.

=====

Material: B5C3
Method: DFT, PBE
State: relaxed

Cell lengths 4.4769, 4.4769, 3.3800 Å; angles 112.13, 112.13, 60.50 degrees
Positions (direct):
1 B 0.0000 0.0000 0.0000
2 B 0.2395 0.5966 0.1482
3 B 0.2970 0.1518 0.7142
4 B 0.4034 0.7605 0.8518
5 B 0.8482 0.7030 0.2858
6 C 0.5961 0.4039 0.5000
7 C 0.6435 0.0780 0.5954
8 C 0.9220 0.3565 0.4046

Calculated values
The symmetry is C2, No. 5. The energy above the lowest structure with this stoichiometry comes out at 133 meV/atom. As for the crystal system: monoclinic.

=====

no.,formation enthalpy at 0 K (eV/atom),mass density (g cm⁻³),total DFT energy (no corrections) (eV/atom)
1,-0.53,7.46,-1.541
2,-0.07,6.99,-4.215
3,0.17,12.52,-10.359
4,0.40,2.82,-7.230